[1]
Compound: Zr2Sc4Sn3C3
Source: OQMD
Functional: PBE
Structure: relaxed

Lattice parameters (Å, degrees): 10.1307 5.8496 15.1976 90.00 102.87 90.00
Space group C2/c (No. 15)
Unique sites:
Zr 0.0578 0.0850 0.4181 (multiplicity 8)
Sc 0.1110 0.4203 0.5830 (multiplicity 8)
Sc 0.2206 0.4146 0.9170 (multiplicity 8)
Sn 0.0000 0.4150 0.2500 (multiplicity 4)
Sn 0.1655 0.0832 0.7492 (multiplicity 8)
C 0.0811 0.2433 0.0000 (multiplicity 8)
C 0.2500 0.2500 0.5000 (multiplicity 4)

---

[2]
Compound: ZrScSnC
Source: OQMD
Functional: PBE
Structure: relaxed

Results
- Offset from the most stable computed form: 0.000 eV/atom

Lattice parameters (Å, degrees): 3.3725 3.3725 14.8106 90.00 90.00 120.00
Space group P6_3mc (No. 186)
Unique sites:
Zr 0.3333 0.6667 0.0000 (multiplicity 2)
Sc 0.3333 0.6667 0.6662 (multiplicity 2)
Sn 0.3333 0.6667 0.3341 (multiplicity 2)
C 0.0000 0.0000 0.0831 (multiplicity 2)

---

[3]
Compound: ZrScSnC
Source: OQMD
Functional: PBE
Structure: relaxed

Results
- Offset from the most stable computed form: 0.016 eV/atom

Lattice parameters (Å, degrees): 3.3830 3.3830 14.7993 90.00 90.00 120.00
Space group P-3m1 (No. 164)
Unique sites:
Zr 0.3333 0.6667 0.4157 (multiplicity 2)
Sc 0.3333 0.6667 0.0811 (multiplicity 2)
Sn 0.3333 0.6667 0.7495 (multiplicity 2)
C 0.0000 0.0000 0.0000 (multiplicity 1)
C 0.0000 0.0000 0.5000 (multiplicity 1)

---

[4]
Compound: ZrScSnC
Source: OQMD
Functional: PBE
Structure: relaxed

Results
- Offset from the most stable computed form: 0.006 eV/atom

Lattice parameters (Å, degrees): 3.3757 3.3757 14.7791 90.00 90.00 120.00
Space group P-6m2 (No. 187)
Unique sites:
Zr 0.0000 0.0000 0.1659 (multiplicity 2)
Sc 0.6667 0.3333 0.3324 (multiplicity 2)
Sn 0.0000 0.0000 0.5000 (multiplicity 1)
Sn 0.6667 0.3333 0.0000 (multiplicity 1)
C 0.3333 0.6667 0.2481 (multiplicity 2)

---

[5]
Compound: Zr3ScSn2C2
Source: OQMD
Functional: PBE
Structure: relaxed

Lattice parameters (Å, degrees): 3.3813 3.3813 14.7579 90.00 90.00 120.00
Space group P3m1 (No. 156)
Unique sites:
Zr 0.0000 0.0000 0.0000 (multiplicity 1)
Zr 0.0000 0.0000 0.3316 (multiplicity 1)
Zr 0.6667 0.3333 0.8312 (multiplicity 1)
Sc 0.6667 0.3333 0.4983 (multiplicity 1)
Sn 0.0000 0.0000 0.6654 (multiplicity 1)
Sn 0.6667 0.3333 0.1662 (multiplicity 1)
C 0.3333 0.6667 0.4150 (multiplicity 1)
C 0.3333 0.6667 0.9153 (multiplicity 1)

---

[6]
Compound: ScTaC2
Source: OQMD
Functional: PBE
Structure: relaxed

Lattice parameters (Å, degrees): 3.1985 3.1985 15.9056 90.00 90.00 120.00
Space group R-3m (No. 166, hexagonal axes)
Unique sites:
Sc 0.0000 0.0000 0.0000 (multiplicity 3)
Ta 0.0000 0.0000 0.5000 (multiplicity 3)
C 0.0000 0.0000 0.2450 (multiplicity 6)

---

[7]
Compound: Sc2Ta4Tl3C3
Source: OQMD
Functional: PBE
Structure: relaxed

Lattice parameters (Å, degrees): 9.8276 5.6750 14.8299 90.00 102.82 90.00
Space group C2/c (No. 15)
Unique sites:
Sc 0.0484 0.0790 0.4111 (multiplicity 8)
Ta 0.1087 0.4067 0.5760 (multiplicity 8)
Ta 0.2294 0.4217 0.9240 (multiplicity 8)
Tl 0.0000 0.4331 0.2500 (multiplicity 4)
Tl 0.1752 0.0903 0.7525 (multiplicity 8)
C 0.0858 0.2570 0.0000 (multiplicity 8)
C 0.2500 0.2500 0.5000 (multiplicity 4)

---

[8]
Compound: Sc4Ta2Tl3C3
Source: OQMD
Functional: PBE
Structure: relaxed

Lattice parameters (Å, degrees): 9.9508 5.7604 15.1816 90.00 103.05 90.00
Space group C2/c (No. 15)
Unique sites:
Sc 0.1122 0.0726 0.0844 (multiplicity 8)
Sc 0.2158 0.0896 0.4156 (multiplicity 8)
Ta 0.0634 0.4120 0.9275 (multiplicity 8)
Tl 0.0000 0.1038 0.7500 (multiplicity 4)
Tl 0.1566 0.4245 0.2472 (multiplicity 8)
C 0.0779 0.2660 0.5000 (multiplicity 8)
C 0.2500 0.2500 0.0000 (multiplicity 4)

---

no.,E (eV for the cell shown)
1,-363.49
2,-62.22
3,-62.09
4,-62.17
5,-64.56
6,-118.02
7,-399.19
8,-359.36